Entry 1:
{"formula": "VIr2Rh7", "functional": "GGA-PBE", "state": "relaxed", "lattice": [[3.9249, 0.0000, 0.0000], [0.0000, 7.3534, -0.4389], [0.0000, -3.6376, 6.4076]], "species": ["Rh", "Rh", "Rh", "Rh", "Rh", "Rh", "Rh", "V", "Ir", "Ir"], "fractional_positions": [[0.0000, 0.1945, 0.8056], [0.5000, 0.9144, 0.7125], [0.0000, 0.8055, 0.1944], [0.5000, 0.7124, 0.9144], [0.5000, 0.0856, 0.2875], [0.5000, 0.5000, 0.5000], [0.5000, 0.2876, 0.0856], [0.0000, 0.0000, 0.0000], [0.5000, 0.3044, 0.6954], [0.5000, 0.6956, 0.3046]], "delta_e_f_ev_per_fu": 5.45, "m_tot_mub_per_fu": 0.00}

=====

Entry 2:
{"formula": "V4Ir2Rh3", "functional": "GGA-PBE", "state": "relaxed", "lattice": [[3.8246, 0.0004, 0.0007], [1.9117, 4.1401, 0.7045], [-0.0015, 0.8877, 8.0427]], "species": ["V", "V", "V", "V", "Rh", "Rh", "Rh", "Ir", "Ir"], "fractional_positions": [[0.3325, 0.3349, 0.1056], [0.0087, 0.9826, 0.3327], [0.6675, 0.6651, 0.8944], [0.9913, 0.0174, 0.6673], [0.0000, 0.0000, 0.0000], [0.6638, 0.6725, 0.5591], [0.3362, 0.3275, 0.4409], [0.3320, 0.3360, 0.7789], [0.6680, 0.6640, 0.2211]], "delta_e_f_ev_per_fu": -3.56, "m_tot_mub_per_fu": 0.00}

=====

Entry 3:
{"formula": "VIr4Rh6", "functional": "GGA-PBE", "state": "relaxed", "lattice": [[4.3984, 0.0000, 0.0000], [-2.1992, 3.8748, 0.0000], [0.0000, 0.0000, 19.1890]], "species": ["Ir", "Ir", "Ir", "Ir", "Ir", "Ir", "Ir", "Ir", "Rh", "Rh", "Rh", "Rh", "Rh", "Rh", "Rh", "Rh", "Rh", "Rh", "Rh", "Rh", "V", "V"], "fractional_positions": [[0.1694, 0.3387, 0.5296], [0.7291, 0.4582, 0.8927], [0.8306, 0.6613, 0.4704], [0.1694, 0.3387, 0.9704], [0.2709, 0.5417, 0.3927], [0.7291, 0.4582, 0.6073], [0.2709, 0.5417, 0.1073], [0.8306, 0.6613, 0.0296], [0.5988, 0.1977, 0.1308], [0.0727, 0.1454, 0.8247], [0.4012, 0.8023, 0.8692], [0.5988, 0.1977, 0.3692], [0.7285, 0.4570, 0.7500], [0.4012, 0.8023, 0.6308], [0.9273, 0.8546, 0.3247], [0.9273, 0.8546, 0.1753], [0.0727, 0.1454, 0.6753], [0.5000, 0.0000, 0.5000], [0.2715, 0.5430, 0.2500], [0.5000, 0.0000, 0.0000], [0.6141, 0.2282, 0.2500], [0.3859, 0.7718, 0.7500]], "delta_e_f_ev_per_fu": 1.47, "m_tot_mub_per_fu": 0.00}

=====

Entry 4:
{"formula": "VIr4Rh3", "functional": "GGA-PBE", "state": "relaxed", "lattice": [[2.7006, 0.0000, 0.0000], [0.0000, 5.2326, 0.0000], [-1.3503, -2.6163, 8.4895]], "species": ["Rh", "Rh", "Rh", "Ir", "Ir", "Ir", "Ir", "V"], "fractional_positions": [[0.0000, 0.5000, 0.0000], [0.7693, 0.7693, 0.5385], [0.2307, 0.2307, 0.4615], [0.3777, 0.1338, 0.7554], [0.6223, 0.8662, 0.2446], [0.6223, 0.3784, 0.2446], [0.3777, 0.6216, 0.7554], [0.5000, 0.0000, 0.0000]], "delta_e_f_ev_per_fu": 0.94, "m_tot_mub_per_fu": 0.00}

=====

Entry 5:
{"formula": "V4IrRh7", "functional": "GGA-PBE", "state": "relaxed", "lattice": [[4.6015, 0.0000, 0.0000], [2.3008, 7.7590, 0.1536], [2.3008, 0.4752, 5.1587]], "species": ["Ir", "Rh", "Rh", "Rh", "Rh", "Rh", "Rh", "Rh", "V", "V", "V", "V"], "fractional_positions": [[0.0000, 0.0000, 0.0000], [0.0679, 0.6489, 0.2153], [0.9321, 0.3511, 0.7847], [0.3528, 0.5578, 0.7367], [0.5000, 0.0000, 0.0000], [0.6472, 0.4422, 0.2633], [0.2144, 0.0940, 0.4773], [0.7856, 0.9060, 0.5227], [0.7333, 0.6761, 0.8573], [0.2667, 0.3239, 0.1427], [0.5828, 0.2320, 0.6024], [0.4172, 0.7680, 0.3976]], "delta_e_f_ev_per_fu": 1.85, "m_tot_mub_per_fu": 0.00}

=====

Entry 6:
{"formula": "VIr4Rh2", "functional": "GGA-PBE", "state": "relaxed", "lattice": [[3.6469, 0.0000, 0.0000], [-1.8235, 8.1933, 0.0000], [0.0000, 0.0000, 7.9841]], "species": ["Ir", "Ir", "Ir", "Ir", "Ir", "Ir", "Ir", "Ir", "V", "V", "Rh", "Rh", "Rh", "Rh"], "fractional_positions": [[0.1186, 0.2372, 0.5217], [0.9840, 0.9681, 0.7500], [0.8814, 0.7628, 0.4783], [0.8814, 0.7628, 0.0217], [0.1186, 0.2372, 0.9783], [0.5000, 0.0000, 0.0000], [0.5000, 0.0000, 0.5000], [0.0160, 0.0319, 0.2500], [0.5915, 0.1831, 0.7500], [0.4085, 0.8169, 0.2500], [0.7297, 0.4594, 0.5976], [0.2703, 0.5406, 0.4024], [0.7297, 0.4594, 0.9024], [0.2703, 0.5406, 0.0976]], "delta_e_f_ev_per_fu": 1.48, "e_above_lowest_polymorph_mev_per_atom": 240, "m_tot_mub_per_fu": 0.00}

=====

Entry 7:
{"formula": "V2Ir3Rh", "functional": "GGA-PBE", "state": "relaxed", "lattice": [[-0.5259, 3.6688, 0.6008], [-2.7403, -0.8170, 2.5904], [5.3817, 0.2945, 2.9126]], "species": ["Rh", "V", "V", "Ir", "Ir", "Ir"], "fractional_positions": [[0.0000, 0.0000, 0.0000], [0.0000, 0.6613, 0.3227], [0.0000, 0.3387, 0.6773], [0.5000, 0.1680, 0.3359], [0.5000, 0.8320, 0.6641], [0.5000, 0.5000, 0.0000]], "delta_e_f_ev_per_fu": -2.74, "e_above_lowest_polymorph_mev_per_atom": 0, "m_tot_mub_per_fu": 0.55}

=====

Entry 8:
{"formula": "V2IrRh3", "functional": "GGA-PBE", "state": "relaxed", "lattice": [[-3.1048, 1.6683, 1.7810], [0.1594, -2.7933, 2.7870], [8.4199, 7.0133, 3.7841]], "species": ["Rh", "Rh", "Rh", "Rh", "Rh", "Rh", "Ir", "Ir", "V", "V", "V", "V"], "fractional_positions": [[0.6760, 0.6760, 0.8534], [0.1756, 0.1756, 0.3512], [0.1774, 0.1774, 0.8534], [0.8244, 0.8244, 0.6488], [0.3240, 0.3240, 0.1466], [0.8226, 0.8226, 0.1466], [0.3224, 0.3224, 0.6449], [0.6776, 0.6776, 0.3551], [0.7500, 0.2500, 0.5000], [0.2514, 0.7486, 0.0000], [0.7486, 0.2514, 0.0000], [0.2500, 0.7500, 0.5000]], "delta_e_f_ev_per_fu": -1.26, "e_above_lowest_polymorph_mev_per_atom": 0, "m_tot_mub_per_fu": 0.00}

=====

Entry 9:
{"formula": "V2Ir2Rh3", "functional": "GGA-PBE", "state": "relaxed", "lattice": [[-1.0442, -3.3646, 2.2939], [1.4326, -1.5868, -1.6754], [6.9012, 3.6512, 4.6448]], "species": ["Rh", "Rh", "Rh", "Ir", "Ir", "V", "V"], "fractional_positions": [[0.0000, 0.0000, 0.0000], [0.2920, 0.7920, 0.5841], [0.7080, 0.2080, 0.4159], [0.5732, 0.5732, 0.1464], [0.4268, 0.4268, 0.8536], [0.8528, 0.3528, 0.7056], [0.1472, 0.6472, 0.2944]], "delta_e_f_ev_per_fu": -1.63, "e_above_lowest_polymorph_mev_per_atom": 0, "m_tot_mub_per_fu": 0.00}

=====

Entry 10:
{"formula": "V2IrRh3", "functional": "GGA-PBE", "state": "relaxed", "lattice": [[6.8702, 0.7237, 0.5270], [3.6933, 5.8381, 0.5270], [3.6933, 2.2942, 5.3942]], "species": ["Rh", "Rh", "Rh", "Rh", "Rh", "Rh", "Ir", "Ir", "V", "V", "V", "V"], "fractional_positions": [[0.2500, 0.5146, 0.9854], [0.5146, 0.9854, 0.2500], [0.4854, 0.0146, 0.7500], [0.7500, 0.4854, 0.0146], [0.0146, 0.7500, 0.4854], [0.9854, 0.2500, 0.5146], [0.0000, 0.0000, 0.0000], [0.5000, 0.5000, 0.5000], [0.6362, 0.6362, 0.6362], [0.8638, 0.8638, 0.8638], [0.3638, 0.3638, 0.3638], [0.1362, 0.1362, 0.1362]], "delta_e_f_ev_per_fu": 1.09, "e_above_lowest_polymorph_mev_per_atom": 392, "m_tot_mub_per_fu": 0.00}

=====

Entry 11:
{"formula": "VIr4Rh7", "functional": "GGA-PBE", "state": "relaxed", "lattice": [[4.4999, 0.0000, 0.0000], [2.2500, 7.9452, -0.1101], [2.2500, 0.2582, 5.3263]], "species": ["Rh", "Rh", "Rh", "Rh", "Rh", "Rh", "Rh", "Ir", "Ir", "Ir", "Ir", "V"], "fractional_positions": [[0.6393, 0.4472, 0.2742], [0.5000, 0.0000, 0.0000], [0.0745, 0.6476, 0.2034], [0.2170, 0.0931, 0.4728], [0.3607, 0.5528, 0.7258], [0.9255, 0.3524, 0.7966], [0.7830, 0.9069, 0.5272], [0.4312, 0.7735, 0.3640], [0.2909, 0.3184, 0.0998], [0.7091, 0.6816, 0.9002], [0.5688, 0.2265, 0.6360], [0.0000, 0.0000, 0.0000]], "delta_e_f_ev_per_fu": 4.86, "m_tot_mub_per_fu": 0.94}

=====

Entry 12:
{"formula": "V3Ir2Rh2", "functional": "GGA-PBE", "state": "relaxed", "lattice": [[3.5779, 0.0000, 0.4748], [0.0000, 2.7629, 0.0000], [0.4613, -0.0001, 10.2415]], "species": ["V", "V", "V", "Rh", "Rh", "Ir", "Ir"], "fractional_positions": [[0.8553, 0.0000, 0.2895], [0.0000, 0.0000, 0.0000], [0.1447, 0.0000, 0.7105], [0.5672, 0.5000, 0.8655], [0.4328, 0.5000, 0.1345], [0.2987, 0.5000, 0.4025], [0.7013, 0.5000, 0.5975]], "delta_e_f_ev_per_fu": -1.85, "e_above_lowest_polymorph_mev_per_atom": 58, "m_tot_mub_per_fu": 0.00}